1.
Compound: Li2TaPb2O6
Source: Alexandria via LeMat-Bulk
Functional: PBE
Structure: relaxed

The crystal system is trigonal. Its total energy is -6.526 eV/atom. For the formation energy from raw total energies, the calculation gives -1.7222 eV/atom.

It has space group R-3m (No. 166, hexagonal axes), with a = 5.9338 Å, b = 5.9338 Å, c = 15.3893 Å, α = 90.00°, β = 90.00° and γ = 120.00°. The inequivalent atoms are Li at (0.0000, 0.0000, 0.0843), Ta at (0.0000, 0.0000, 0.5000), Pb at (0.0000, 0.0000, 0.2953) and O at (0.0300, 0.5150, 0.2490).


2.
Compound: LaSi3
Source: Alexandria via LeMat-Bulk
Functional: PBE
Structure: relaxed

The crystal system is orthorhombic. Its total energy is -5.489 eV/atom. For the formation energy from raw total energies, the calculation gives -0.1895 eV/atom.

It has space group Cmmm (No. 65), with a = 4.8536 Å, b = 5.0719 Å, c = 6.3253 Å, α = 90.00°, β = 90.00° and γ = 90.00°. The inequivalent atoms are La at (0.0000, 0.0000, 0.0000), Si at (0.0000, 0.0000, 0.5000) and Si at (0.0000, 0.5000, 0.3161).


3.
Compound: ScPaBi2
Source: Alexandria via LeMat-Bulk
Functional: PBE
Structure: relaxed

The crystal system is trigonal. The formation energy is 370 meV per atom. Its total energy is -5.528 eV/atom.

It has space group R-3m (No. 166, hexagonal axes), with a = 4.1400 Å, b = 4.1400 Å, c = 29.4774 Å, α = 90.00°, β = 90.00° and γ = 120.00°. The inequivalent atoms are Sc at (0.0000, 0.0000, 0.0000), Pa at (0.0000, 0.0000, 0.5000) and Bi at (0.0000, 0.0000, 0.0974).


4.
Compound: ScPtW2
Source: Alexandria via LeMat-Bulk
Functional: PBE
Structure: relaxed

The crystal system is monoclinic. The formation energy is -60 meV per atom. Its total energy is -9.629 eV/atom.

It has space group P2/m (No. 10), with a = 2.7772 Å, b = 4.8406 Å, c = 5.0786 Å, α = 90.00°, β = 99.12° and γ = 90.00°. The inequivalent atoms are Sc at (0.0000, 0.0000, 0.0000), Pt at (0.5000, 0.0000, 0.5000) and W at (0.2759, 0.5000, 0.7569).


5.
Compound: Tl3VN
Source: Alexandria via LeMat-Bulk
Functional: PBE
Structure: relaxed

The crystal system is cubic. Its total energy is -3.766 eV/atom. For the formation energy from raw total energies, the calculation gives 1.1430 eV/atom.

It has space group Pm-3m (No. 221), with a = 4.9120 Å, b = 4.9120 Å, c = 4.9120 Å, α = 90.00°, β = 90.00° and γ = 90.00°. The inequivalent atoms are Tl at (0.0000, 0.0000, 0.5000), V at (0.5000, 0.5000, 0.5000) and N at (0.0000, 0.0000, 0.0000).


6.
Compound: CsMgTa
Source: Alexandria via LeMat-Bulk
Functional: PBE
Structure: relaxed

The crystal system is hexagonal. The formation energy is 1553 meV per atom. Its total energy is -3.214 eV/atom.

It has space group P-6m2 (No. 187), with a = 5.6347 Å, b = 5.6347 Å, c = 3.0938 Å, α = 90.00°, β = 90.00° and γ = 120.00°. The inequivalent atoms are Cs at (0.0000, 0.0000, 0.0000), Mg at (0.3333, 0.6667, 0.5000) and Ta at (0.6667, 0.3333, 0.5000).


7.
Compound: Zn2SiNi
Source: Alexandria via LeMat-Bulk
Functional: PBE
Structure: relaxed

The crystal system is monoclinic. Its total energy is -3.450 eV/atom. For the formation energy from raw total energies, the calculation gives -0.0115 eV/atom.

It has space group C2/m (No. 12), with a = 4.9382 Å, b = 9.3705 Å, c = 2.6786 Å, α = 90.00°, β = 119.58° and γ = 90.00°. The inequivalent atoms are Zn at (0.2500, 0.2500, 0.0000), Si at (0.0000, 0.0000, 0.0000) and Ni at (0.0000, 0.5000, 0.0000).


8.
Compound: Te2SeCl
Source: Alexandria via LeMat-Bulk
Functional: PBE
Structure: relaxed

The crystal system is tetragonal. Its total energy is -2.592 eV/atom. For the formation energy from raw total energies, the calculation gives 0.3118 eV/atom.

It has space group P4/mmm (No. 123), with a = 4.7163 Å, b = 4.7163 Å, c = 4.3167 Å, α = 90.00°, β = 90.00° and γ = 90.00°. The inequivalent atoms are Te at (0.0000, 0.5000, 0.0000), Se at (0.0000, 0.0000, 0.5000) and Cl at (0.5000, 0.5000, 0.5000).


9.
Compound: Tb5DyTm3
Source: Alexandria via LeMat-Bulk
Functional: PBE
Structure: relaxed

The crystal system is monoclinic. The formation energy is 513 meV per atom. Its total energy is -4.061 eV/atom.

It has space group C2/m (No. 12), with a = 15.0007 Å, b = 11.3953 Å, c = 9.7932 Å, α = 90.00°, β = 129.87° and γ = 90.00°. The inequivalent atoms are Tb at (0.0000, 0.2431, 0.0000), Tb at (0.1465, 0.2482, 0.7465), Tb at (0.2225, 0.5000, 0.0407), Tb at (0.2254, 0.0000, 0.2359), Dy at (0.2469, 0.0000, 0.5961), Tm at (0.0000, 0.0000, 0.5000), Tm at (0.0000, 0.5000, 0.0000), Tm at (0.0100, 0.0000, 0.8219) and Tm at (0.0183, 0.5000, 0.3586).


10.
Compound: RbBa2NbCu
Source: Alexandria via LeMat-Bulk
Functional: PBE
Structure: relaxed

The crystal system is tetragonal. The formation energy is 696 meV per atom. Its total energy is -3.100 eV/atom.

It has space group P4/mmm (No. 123), with a = 6.4202 Å, b = 6.4202 Å, c = 5.2311 Å, α = 90.00°, β = 90.00° and γ = 90.00°. The inequivalent atoms are Rb at (0.0000, 0.0000, 0.0000), Ba at (0.0000, 0.5000, 0.5000), Nb at (0.5000, 0.5000, 0.0000) and Cu at (0.5000, 0.5000, 0.5000).


11.
Compound: TbY9Er2
Source: Alexandria via LeMat-Bulk
Functional: PBE
Structure: relaxed

The crystal system is tetragonal. The formation energy is 26 meV per atom. Its total energy is -5.969 eV/atom.

It has space group P4/mmm (No. 123), with a = 5.0356 Å, b = 5.0356 Å, c = 15.1091 Å, α = 90.00°, β = 90.00° and γ = 90.00°. The inequivalent atoms are Tb at (0.0000, 0.0000, 0.0000), Y at (0.0000, 0.5000, 0.1675), Y at (0.0000, 0.5000, 0.5000), Y at (0.5000, 0.5000, 0.0000), Y at (0.5000, 0.5000, 0.3340) and Er at (0.0000, 0.0000, 0.3337).


12.
Compound: Li6PrSn6
Source: Alexandria via LeMat-Bulk
Functional: PBE
Structure: relaxed

The crystal system is hexagonal. The formation energy is -380 meV per atom. Its total energy is -3.478 eV/atom.

It has space group P6/mmm (No. 191), with a = 5.8550 Å, b = 5.8550 Å, c = 9.3928 Å, α = 90.00°, β = 90.00° and γ = 120.00°. The inequivalent atoms are Li at (0.0000, 0.5000, 0.2474), Pr at (0.0000, 0.0000, 0.0000), Sn at (0.0000, 0.0000, 0.3489), Sn at (0.3333, 0.6667, 0.0000) and Sn at (0.3333, 0.6667, 0.5000).